# 1
# Tc3As | the Alexandria database | GGA-PBE | optimized geometry
data_Tc3As
_symmetry_space_group_name_H-M 'I 4/m m m'
_symmetry_Int_Tables_number 139
_symmetry_space_group_name_Hall '-I 4 2'
_cell_length_a 3.7519
_cell_length_b 3.7519
_cell_length_c 8.2759
_cell_angle_alpha 90.00
_cell_angle_beta 90.00
_cell_angle_gamma 90.00
loop_
_atom_site_label
_atom_site_fract_x
_atom_site_fract_y
_atom_site_fract_z
_atom_site_occupancy
Tc1 0.0000 0.0000 0.0000 1
Tc2 0.0000 0.5000 0.2500 1
As1 0.0000 0.0000 0.5000 1
# Energy of formation, kJ/mol of formula units: 64
# Volume, Å³ per cell: 116

=====

# 2
# Tc3As | the Alexandria database | GGA-PBE | optimized geometry
data_Tc3As
_symmetry_space_group_name_H-M 'P m m m'
_symmetry_Int_Tables_number 47
_cell_length_a 2.9071
_cell_length_b 4.0409
_cell_length_c 5.0353
_cell_angle_alpha 90.00
_cell_angle_beta 90.00
_cell_angle_gamma 90.00
loop_
_symmetry_equiv_pos_as_xyz
'x,y,z'
'-x,-y,-z'
'-x,-y,z'
'x,y,-z'
'x,-y,-z'
'-x,y,z'
'-x,y,-z'
'x,-y,z'
loop_
_atom_site_label
_atom_site_fract_x
_atom_site_fract_y
_atom_site_fract_z
_atom_site_occupancy
Tc1 0.0000 0.0000 0.0000 1
Tc2 0.5000 0.5000 0.2519 1
As1 0.0000 0.0000 0.5000 1
# Energy of formation, kJ/mol of formula units: 40
# Volume, Å³ per cell: 59

=====

# 3
# Tc3As | the Alexandria database | GGA-PBE | optimized geometry
data_Tc3As
_symmetry_space_group_name_H-M 'P m m 2'
_symmetry_Int_Tables_number 25
_cell_length_a 2.9661
_cell_length_b 3.1249
_cell_length_c 6.9549
_cell_angle_alpha 90.00
_cell_angle_beta 90.00
_cell_angle_gamma 90.00
loop_
_symmetry_equiv_pos_as_xyz
'x,y,z'
'-x,-y,z'
'-x,y,z'
'x,-y,z'
loop_
_atom_site_label
_atom_site_fract_x
_atom_site_fract_y
_atom_site_fract_z
_atom_site_occupancy
Tc1 0.0000 0.0000 0.0000 1
Tc2 0.0000 0.5000 0.4762 1
Tc3 0.5000 0.5000 0.7930 1
As1 0.5000 0.0000 0.3016 1
# Energy of formation, kJ/mol of formula units: 78
# Volume, Å³ per cell: 64